# CoF, optimized geometry, DFT PBE with a Hubbard U
# - crystal system = orthorhombic
# - VASP energy (eV for the cell shown) = -139.78
data_CoF
_chemical_formula_sum 'Co16 F16'
_space_group_name_H-M_alt 'F d d d'
_space_group_IT_number 70
_cell_length_a 2.9628
_cell_length_b 10.2828
_cell_length_c 13.1699
_cell_angle_alpha 90.00
_cell_angle_beta 90.00
_cell_angle_gamma 90.00
loop_
_space_group_symop_operation_xyz
'x,y,z'
'-x,-y,-z'
'-x+1/4,-y+1/4,z'
'x+1/4,y+1/4,-z'
'x,-y+1/4,-z+1/4'
'-x,y+1/4,z+1/4'
'-x+1/4,y,-z+1/4'
'x+1/4,-y,z+1/4'
'x,y+1/2,z+1/2'
'-x,-y+1/2,-z+1/2'
'-x+1/4,-y+3/4,z+1/2'
'x+1/4,y+3/4,-z+1/2'
'x,-y+3/4,-z+3/4'
'-x,y+3/4,z+3/4'
'-x+1/4,y+1/2,-z+3/4'
'x+1/4,-y+1/2,z+3/4'
'x+1/2,y,z+1/2'
'-x+1/2,-y,-z+1/2'
'-x+3/4,-y+1/4,z+1/2'
'x+3/4,y+1/4,-z+1/2'
'x+1/2,-y+1/4,-z+3/4'
'-x+1/2,y+1/4,z+3/4'
'-x+3/4,y,-z+3/4'
'x+3/4,-y,z+3/4'
'x+1/2,y+1/2,z'
'-x+1/2,-y+1/2,-z'
'-x+3/4,-y+3/4,z'
'x+3/4,y+3/4,-z'
'x+1/2,-y+3/4,-z+1/4'
'-x+1/2,y+3/4,z+1/4'
'-x+3/4,y+1/2,-z+1/4'
'x+3/4,-y+1/2,z+1/4'
loop_
_atom_site_label
_atom_site_type_symbol
_atom_site_fract_x
_atom_site_fract_y
_atom_site_fract_z
Co1 Co 0.1250 0.2809 0.1250
F1 F 0.1250 0.1250 0.0227

=====

# CoF, optimized geometry, DFT PBE with a Hubbard U
# - crystal system = cubic
# - VASP energy (eV for the cell shown) = -34.70
data_CoF
_chemical_formula_sum 'Co4 F4'
_space_group_name_H-M_alt 'F m -3 m'
_space_group_IT_number 225
_space_group_name_Hall '-F 4 2 3'
_cell_length_a 4.5519
_cell_length_b 4.5519
_cell_length_c 4.5519
_cell_angle_alpha 90.00
_cell_angle_beta 90.00
_cell_angle_gamma 90.00
loop_
_atom_site_label
_atom_site_type_symbol
_atom_site_fract_x
_atom_site_fract_y
_atom_site_fract_z
Co1 Co 0.0000 0.0000 0.0000
F1 F 0.0000 0.0000 0.5000

=====

# CoF2, optimized geometry, DFT PBE with a Hubbard U
# - crystal system = orthorhombic
# - VASP energy (eV for the cell shown) = -60.62
data_CoF2
_chemical_formula_sum 'Co4 F8'
_space_group_name_H-M_alt 'P n m a'
_space_group_IT_number 62
_cell_length_a 10.1828
_cell_length_b 3.1991
_cell_length_c 4.8250
_cell_angle_alpha 90.00
_cell_angle_beta 90.00
_cell_angle_gamma 90.00
loop_
_space_group_symop_operation_xyz
'x,y,z'
'-x,-y,-z'
'-x+1/2,-y,z+1/2'
'x+1/2,y,-z+1/2'
'x+1/2,-y+1/2,-z+1/2'
'-x+1/2,y+1/2,z+1/2'
'-x,y+1/2,-z'
'x,-y+1/2,z'
loop_
_atom_site_label
_atom_site_type_symbol
_atom_site_fract_x
_atom_site_fract_y
_atom_site_fract_z
Co1 Co 0.1347 0.2500 0.0267
F1 F 0.0362 0.7500 0.2052
F2 F 0.2240 0.7500 0.8269

=====

# CoF, optimized geometry, DFT PBE with a Hubbard U
# - crystal system = cubic
# - VASP energy (eV for the cell shown) = -49.67
data_CoF
_chemical_formula_sum 'Co6 F6'
_space_group_name_H-M_alt 'P m -3 n'
_space_group_IT_number 223
_space_group_name_Hall '-P 4n 2 3'
_cell_length_a 6.0388
_cell_length_b 6.0388
_cell_length_c 6.0388
_cell_angle_alpha 90.00
_cell_angle_beta 90.00
_cell_angle_gamma 90.00
loop_
_atom_site_label
_atom_site_type_symbol
_atom_site_fract_x
_atom_site_fract_y
_atom_site_fract_z
Co1 Co 0.0000 0.2500 0.5000
F1 F 0.0000 0.5000 0.2500

=====

# CoF, optimized geometry, DFT PBE with a Hubbard U
# - crystal system = cubic
# - VASP energy (eV for the cell shown) = -34.07
data_CoF
_chemical_formula_sum 'Co4 F4'
_space_group_name_H-M_alt 'F -4 3 m'
_space_group_IT_number 216
_space_group_name_Hall 'F -4 2 3'
_cell_length_a 4.8316
_cell_length_b 4.8316
_cell_length_c 4.8316
_cell_angle_alpha 90.00
_cell_angle_beta 90.00
_cell_angle_gamma 90.00
loop_
_atom_site_label
_atom_site_type_symbol
_atom_site_fract_x
_atom_site_fract_y
_atom_site_fract_z
Co1 Co 0.0000 0.0000 0.0000
F1 F 0.2500 0.2500 0.2500

=====

# CoF, optimized geometry, DFT PBE with a Hubbard U
# - crystal system = hexagonal
# - VASP energy (eV for the cell shown) = -17.49
data_CoF
_chemical_formula_sum 'Co2 F2'
_space_group_name_H-M_alt 'P 63 m c'
_space_group_IT_number 186
_space_group_name_Hall 'P 6c -2c'
_cell_length_a 2.8909
_cell_length_b 2.8909
_cell_length_c 6.8749
_cell_angle_alpha 90.00
_cell_angle_beta 90.00
_cell_angle_gamma 120.00
loop_
_atom_site_label
_atom_site_type_symbol
_atom_site_fract_x
_atom_site_fract_y
_atom_site_fract_z
Co1 Co 0.3333 0.6667 0.0000
F1 F 0.3333 0.6667 0.7110

=====

# CoF, optimized geometry, DFT PBE with a Hubbard U
# - crystal system = cubic
# - VASP energy (eV for the cell shown) = -68.32
data_CoF
_chemical_formula_sum 'Co8 F8'
_space_group_name_H-M_alt 'I -4 3 m'
_space_group_IT_number 217
_space_group_name_Hall 'I -4 2 3'
_cell_length_a 6.5344
_cell_length_b 6.5344
_cell_length_c 6.5344
_cell_angle_alpha 90.00
_cell_angle_beta 90.00
_cell_angle_gamma 90.00
loop_
_atom_site_label
_atom_site_type_symbol
_atom_site_fract_x
_atom_site_fract_y
_atom_site_fract_z
Co1 Co 0.1857 0.1857 0.8143
F1 F 0.1427 0.1427 0.1427

=====

# Co2F5, optimized geometry, DFT PBE with a Hubbard U
# - crystal system = monoclinic
# - VASP energy (eV for the cell shown) = -133.34
data_Co2F5
_chemical_formula_sum 'Co8 F20'
_space_group_name_H-M_alt 'C 1 2/c 1'
_space_group_IT_number 15
_cell_length_a 12.7513
_cell_length_b 4.8716
_cell_length_c 5.5466
_cell_angle_alpha 90.00
_cell_angle_beta 104.37
_cell_angle_gamma 90.00
loop_
_space_group_symop_operation_xyz
'x,y,z'
'-x,-y,-z'
'-x,y,-z+1/2'
'x,-y,z+1/2'
'x+1/2,y+1/2,z'
'-x+1/2,-y+1/2,-z'
'-x+1/2,y+1/2,-z+1/2'
'x+1/2,-y+1/2,z+1/2'
loop_
_atom_site_label
_atom_site_type_symbol
_atom_site_fract_x
_atom_site_fract_y
_atom_site_fract_z
Co1 Co 0.1408 0.2427 0.2825
F1 F 0.0000 0.4097 0.2500
F2 F 0.1068 0.0727 0.9652
F3 F 0.2015 0.4244 0.6201

=====

# CoF, optimized geometry, DFT PBE with a Hubbard U
# - crystal system = orthorhombic
# - VASP energy (eV for the cell shown) = -54.22
data_CoF
_chemical_formula_sum 'Co6 F6'
_space_group_name_H-M_alt 'I m m 2'
_space_group_IT_number 44
_cell_length_a 2.9761
_cell_length_b 9.5477
_cell_length_c 5.1039
_cell_angle_alpha 90.00
_cell_angle_beta 90.00
_cell_angle_gamma 90.00
loop_
_space_group_symop_operation_xyz
'x,y,z'
'-x,-y,z'
'-x,y,z'
'x,-y,z'
'x+1/2,y+1/2,z+1/2'
'-x+1/2,-y+1/2,z+1/2'
'-x+1/2,y+1/2,z+1/2'
'x+1/2,-y+1/2,z+1/2'
loop_
_atom_site_label
_atom_site_type_symbol
_atom_site_fract_x
_atom_site_fract_y
_atom_site_fract_z
Co1 Co 0.0000 0.0000 0.0000
Co2 Co 0.0000 0.1312 0.5740
F1 F 0.0000 0.2237 0.1838
F2 F 0.0000 0.5000 0.8407

=====

# CoF2, optimized geometry, DFT PBE with a Hubbard U
# - crystal system = tetragonal
# - VASP energy (eV for the cell shown) = -30.49
data_CoF2
_chemical_formula_sum 'Co2 F4'
_space_group_name_H-M_alt 'P 42/m n m'
_space_group_IT_number 136
_space_group_name_Hall '-P 4n 2n'
_cell_length_a 4.7470
_cell_length_b 4.7470
_cell_length_c 3.2174
_cell_angle_alpha 90.00
_cell_angle_beta 90.00
_cell_angle_gamma 90.00
loop_
_atom_site_label
_atom_site_type_symbol
_atom_site_fract_x
_atom_site_fract_y
_atom_site_fract_z
Co1 Co 0.0000 0.0000 0.0000
F1 F 0.1958 0.1958 0.5000

=====

# CoF, optimized geometry, DFT PBE with a Hubbard U
# - crystal system = tetragonal
# - VASP energy (eV for the cell shown) = -33.89
data_CoF
_chemical_formula_sum 'Co4 F4'
_space_group_name_H-M_alt 'P 42/m n m'
_space_group_IT_number 136
_space_group_name_Hall '-P 4n 2n'
_cell_length_a 6.5628
_cell_length_b 6.5628
_cell_length_c 2.7499
_cell_angle_alpha 90.00
_cell_angle_beta 90.00
_cell_angle_gamma 90.00
loop_
_atom_site_label
_atom_site_type_symbol
_atom_site_fract_x
_atom_site_fract_y
_atom_site_fract_z
Co1 Co 0.1768 0.1768 0.0000
F1 F 0.1447 0.8553 0.0000

=====

# CoF, optimized geometry, DFT PBE with a Hubbard U
# - crystal system = orthorhombic
# - VASP energy (eV for the cell shown) = -54.54
data_CoF
_chemical_formula_sum 'Co6 F6'
_space_group_name_H-M_alt 'P m m n'
_space_group_IT_number 59
_cell_length_a 2.9230
_cell_length_b 10.3552
_cell_length_c 4.9118
_cell_angle_alpha 90.00
_cell_angle_beta 90.00
_cell_angle_gamma 90.00
loop_
_space_group_symop_operation_xyz
'x,y,z'
'-x,-y,-z'
'-x+1/2,-y+1/2,z'
'x+1/2,y+1/2,-z'
'x+1/2,-y,-z'
'-x+1/2,y,z'
'-x,y+1/2,-z'
'x,-y+1/2,z'
loop_
_atom_site_label
_atom_site_type_symbol
_atom_site_fract_x
_atom_site_fract_y
_atom_site_fract_z
Co1 Co 0.2500 0.0484 0.1910
Co2 Co 0.2500 0.7500 0.2077
F1 F 0.2500 0.2500 0.0884
F2 F 0.2500 0.6097 0.4977

=====

Please write out number 10 again, unchanged.
# CoF2, optimized geometry, DFT PBE with a Hubbard U
# - crystal system = tetragonal
# - VASP energy (eV for the cell shown) = -30.49
data_CoF2
_chemical_formula_sum 'Co2 F4'
_space_group_name_H-M_alt 'P 42/m n m'
_space_group_IT_number 136
_space_group_name_Hall '-P 4n 2n'
_cell_length_a 4.7470
_cell_length_b 4.7470
_cell_length_c 3.2174
_cell_angle_alpha 90.00
_cell_angle_beta 90.00
_cell_angle_gamma 90.00
loop_
_atom_site_label
_atom_site_type_symbol
_atom_site_fract_x
_atom_site_fract_y
_atom_site_fract_z
Co1 Co 0.0000 0.0000 0.0000
F1 F 0.1958 0.1958 0.5000